1.
Entry from the Open Quantum Materials Database: a geometry-optimized ScGaPd2 structure (PBE).

Results
Energy (eV/atom): -5.75
Total magnetic moment (μB/f.u.): 0.00

Lattice parameters (Å, degrees): 6.871 7.279 5.470 90.00 90.00 90.00
Space group Pnma (No. 62)
Asymmetric unit:
Sc  0.022  0.250  0.140 (multiplicity 4)
Ga  0.112  0.750  0.370 (multiplicity 4)
Pd  0.194  0.050  0.588 (multiplicity 8)


2.
Entry from the Open Quantum Materials Database: a geometry-optimized LaSmCu2 structure (PBE).

Results
Energy (eV/atom): -4.46
Formation energy (meV/atom): -194
Total magnetic moment (μB/f.u.): 0.00

Lattice parameters (Å, degrees): 4.550 5.632 7.350 90.00 90.00 90.00
Space group Pmc2_1 (No. 26)
Asymmetric unit:
La  0.000  0.126  0.000 (multiplicity 2)
Sm  0.500  0.376  0.359 (multiplicity 2)
Cu  0.000  0.371  0.644 (multiplicity 2)
Cu  0.500  0.135  0.712 (multiplicity 2)


3.
Entry from the Open Quantum Materials Database: a geometry-optimized LaNdAu2 structure (PBE).

Results
Energy (eV/atom): -4.87
Formation energy (meV/atom): -819
Total magnetic moment (μB/f.u.): 0.01

Lattice parameters (Å, degrees): 4.820 3.891 11.375 90.00 90.00 90.00
Space group Amm2 (No. 38)
Asymmetric unit:
La  0.000  0.000  0.000 (multiplicity 2)
Nd  0.500  0.000  0.725 (multiplicity 2)
Au  0.000  0.000  0.275 (multiplicity 2)
Au  0.500  0.000  0.450 (multiplicity 2)


4.
Entry from the Open Quantum Materials Database: a geometry-optimized MgScAlNi structure (PBE).

Results
Energy (eV/atom): -4.60
Total magnetic moment (μB/f.u.): 0.00
Offset from the most stable computed form (meV/atom): 40

Lattice parameters (Å, degrees): 6.444 6.444 6.444 90.00 90.00 90.00
Space group F-43m (No. 216)
Asymmetric unit:
Mg  0.000  0.000  0.000 (multiplicity 4)
Sc  0.000  0.000  0.500 (multiplicity 4)
Al  0.250  0.250  0.250 (multiplicity 4)
Ni  0.250  0.250  0.750 (multiplicity 4)